Record 1
This record from Alexandria via LeMat-Bulk describes Ac2HoThBi4 after structural relaxation. The functional is GGA-PBE.

The space group is P2/m (No. 10) and the conventional cell measures 8.110, 4.698 and 8.180 Å, with angles of 90.00, 109.38 and 90.00 degrees. Symmetry generates all atoms from Ac at (0.000, 0.000, 0.000), Ac at (0.500, 0.500, 0.000), Ho at (0.000, 0.500, 0.500), Th at (0.500, 0.000, 0.500), Bi at (0.239, 0.000, 0.728) and Bi at (0.252, 0.500, 0.269).

The formation energy comes out at -657 kJ/mol of formula units. The total magnetization comes out at 0.001 μB per formula unit.

=====

Record 2
This record from Alexandria via LeMat-Bulk describes La3IrPb after structural relaxation. The functional is GGA-PBE.

The space group is P-1 (No. 2) and the conventional cell measures 6.353, 6.614 and 8.620 Å, with angles of 76.03, 86.32 and 66.11 degrees. Symmetry generates all atoms from La at (0.060, 0.154, 0.136), La at (0.285, 0.201, 0.670), La at (0.389, 0.475, 0.199), Ir at (0.394, 0.866, 0.969) and Pb at (0.213, 0.767, 0.500).

The formation energy comes out at -291 kJ/mol of formula units. The total magnetization comes out at 0.000 μB per formula unit.

=====

Record 3
This record from Alexandria via LeMat-Bulk describes ScAs3W after structural relaxation. The functional is GGA-PBE.

The space group is Pm-3m (No. 221) and the conventional cell measures 4.905, 4.905 and 4.905 Å, with angles of 90.00, 90.00 and 90.00 degrees. Symmetry generates all atoms from Sc at (0.000, 0.000, 0.000), As at (0.000, 0.000, 0.500) and W at (0.500, 0.500, 0.500).

The formation energy comes out at 646 kJ/mol of formula units. The total magnetization comes out at 0.000 μB per formula unit.

=====

Record 4
This record from Alexandria via LeMat-Bulk describes CaGe3Se after structural relaxation. The functional is GGA-PBE.

The space group is Pm-3m (No. 221) and the conventional cell measures 5.460, 5.460 and 5.460 Å, with angles of 90.00, 90.00 and 90.00 degrees. Symmetry generates all atoms from Ca at (0.000, 0.000, 0.000), Ge at (0.000, 0.000, 0.500) and Se at (0.500, 0.500, 0.500).

The total energy comes out at -13.92 eV per cell. The total magnetization comes out at 1.450 μB per formula unit.

=====

Record 5
This record from Alexandria via LeMat-Bulk describes Ac4CeEr3Sb8 after structural relaxation. The functional is GGA-PBE.

The space group is R-3m (No. 166, hexagonal axes) and the conventional cell measures 9.1957, 9.1957 and 22.5160 Å, with angles of 90.00, 90.00 and 120.00 degrees. Symmetry generates all atoms from Ac at (0.0000, 0.0000, 0.0000), Ac at (0.0000, 0.5000, 0.0000), Ce at (0.0000, 0.0000, 0.5000), Er at (0.0000, 0.5000, 0.5000), Sb at (0.0000, 0.0000, 0.2415) and Sb at (0.0030, 0.5015, 0.7578).

The total energy comes out at -261.24 eV per cell. The total magnetization comes out at 0.641 μB per formula unit.

=====

Record 6
This record from Alexandria via LeMat-Bulk describes CaTcPb2 after structural relaxation. The functional is GGA-PBE.

The space group is C2/m (No. 12) and the conventional cell measures 9.426, 3.740 and 5.843 Å, with angles of 90.00, 106.69 and 90.00 degrees. Symmetry generates all atoms from Ca at (0.000, 0.000, 0.000), Tc at (0.000, 0.500, 0.500) and Pb at (0.231, 0.000, 0.704).

The formation energy comes out at 78 kJ/mol of formula units. The total magnetization comes out at 0.643 μB per formula unit.

=====

Record 7
This record from Alexandria via LeMat-Bulk describes SmFe5 after structural relaxation. The functional is GGA-PBE.

The space group is P6/mmm (No. 191) and the conventional cell measures 5.0919, 5.0919 and 3.9318 Å, with angles of 90.00, 90.00 and 120.00 degrees. Symmetry generates all atoms from Sm at (0.0000, 0.0000, 0.0000), Fe at (0.0000, 0.5000, 0.5000) and Fe at (0.3333, 0.6667, 0.0000).

The formation energy comes out at 4 kJ/mol of formula units. The total magnetization comes out at 10.327 μB per formula unit.

=====

Record 8
This record from Alexandria via LeMat-Bulk describes KRb4O2 after structural relaxation. The functional is GGA-PBE.

The space group is R-3m (No. 166, hexagonal axes) and the conventional cell measures 4.3375, 4.3375 and 51.1563 Å, with angles of 90.00, 90.00 and 120.00 degrees. Symmetry generates all atoms from K at (0.0000, 0.0000, 0.0000), Rb at (0.0000, 0.0000, 0.1978), Rb at (0.0000, 0.0000, 0.4187) and O at (0.0000, 0.0000, 0.1117).

The total energy comes out at -60.54 eV per cell. The total magnetization comes out at 0.221 μB per formula unit.

=====

Record 9
This record from Alexandria via LeMat-Bulk describes La4ZnRu after structural relaxation. The functional is GGA-PBE.

The space group is F-43m (No. 216) and the conventional cell measures 14.058, 14.058 and 14.058 Å, with angles of 90.00, 90.00 and 90.00 degrees. Symmetry generates all atoms from La at (0.000, 0.000, 0.191), La at (0.058, 0.250, 0.250), La at (0.099, 0.099, 0.599), Zn at (0.174, 0.174, 0.826) and Ru at (0.113, 0.113, 0.387).

The formation energy comes out at -152 kJ/mol of formula units. The total magnetization comes out at 0.000 μB per formula unit.

=====

Record 10
This record from Alexandria via LeMat-Bulk describes LiTlS2 after structural relaxation. The functional is GGA-PBE.

The space group is Cmcm (No. 63) and the conventional cell measures 4.227, 22.715 and 4.681 Å, with angles of 90.00, 90.00 and 90.00 degrees. Symmetry generates all atoms from Li at (0.000, 0.206, 0.250), Tl at (0.000, 0.434, 0.250), S at (0.000, 0.315, 0.250) and S at (0.000, 0.343, 0.750).

The total energy comes out at -56.04 eV per cell. The total magnetization comes out at 0.000 μB per formula unit.